<1>
VASP calculation (PBE) on an optimized crystal structure of NbZn2Co.

The structure in CIF format:
```
data_NbZn2Co
_cell_length_a 2.723
_cell_length_b 2.723
_cell_length_c 9.777
_cell_angle_alpha 81.99
_cell_angle_beta 81.99
_cell_angle_gamma 60.00
_symmetry_space_group_name_H-M 'P 1'
_symmetry_Int_Tables_number 1
_symmetry_space_group_name_Hall 'P 1'
loop_
_atom_site_label
_atom_site_type_symbol
_atom_site_fract_x
_atom_site_fract_y
_atom_site_fract_z
Nb1 Nb 0.000 0.000 0.000
Co1 Co 0.500 0.500 0.500
Zn1 Zn 0.097 0.097 0.709
Zn2 Zn 0.903 0.903 0.291
```

ρ = 7.57 g cm⁻³
Symmetry = R-3m

=====

<2>
VASP calculation (PBE) on an optimized crystal structure of NbZn2Co.

The structure in CIF format:
```
data_NbZn2Co
_cell_length_a 2.893
_cell_length_b 2.893
_cell_length_c 6.729
_cell_angle_alpha 90.00
_cell_angle_beta 90.00
_cell_angle_gamma 90.00
_symmetry_space_group_name_H-M 'P 1'
_symmetry_Int_Tables_number 1
_symmetry_space_group_name_Hall 'P 1'
loop_
_atom_site_label
_atom_site_type_symbol
_atom_site_fract_x
_atom_site_fract_y
_atom_site_fract_z
Nb1 Nb 0.500 0.500 0.500
Co1 Co 0.500 0.500 0.000
Zn1 Zn 0.000 0.000 0.788
Zn2 Zn 0.000 0.000 0.212
```

ρ = 8.34 g cm⁻³
Symmetry = P4/mmm

=====

Relative energy of each structure, in meV/atom: <1> 342; <2> 0.

=====

<1>
VASP calculation (PBE) on an optimized crystal structure of Nb3ZnCo.

The structure in CIF format:
```
data_Nb3ZnCo
_cell_length_a 4.590
_cell_length_b 4.590
_cell_length_c 4.590
_cell_angle_alpha 90.00
_cell_angle_beta 90.00
_cell_angle_gamma 90.00
_symmetry_space_group_name_H-M 'P 1'
_symmetry_Int_Tables_number 1
_symmetry_space_group_name_Hall 'P 1'
loop_
_atom_site_label
_atom_site_type_symbol
_atom_site_fract_x
_atom_site_fract_y
_atom_site_fract_z
Nb1 Nb 0.000 0.500 0.000
Nb2 Nb 0.000 0.000 0.500
Nb3 Nb 0.500 0.000 0.000
Co1 Co 0.000 0.000 0.000
Zn1 Zn 0.500 0.500 0.500
```

ρ = 6.92 g cm⁻³
Symmetry = Pm-3m

=====

<2>
VASP calculation (PBE) on an optimized crystal structure of Nb3ZnCo.

The structure in CIF format:
```
data_Nb3ZnCo
_cell_length_a 4.657
_cell_length_b 4.657
_cell_length_c 4.657
_cell_angle_alpha 90.00
_cell_angle_beta 90.00
_cell_angle_gamma 90.00
_symmetry_space_group_name_H-M 'P 1'
_symmetry_Int_Tables_number 1
_symmetry_space_group_name_Hall 'P 1'
loop_
_atom_site_label
_atom_site_type_symbol
_atom_site_fract_x
_atom_site_fract_y
_atom_site_fract_z
Nb1 Nb 0.000 0.500 0.000
Nb2 Nb 0.000 0.000 0.500
Nb3 Nb 0.500 0.000 0.000
Co1 Co 0.500 0.500 0.500
Zn1 Zn 0.000 0.000 0.000
```

ρ = 6.63 g cm⁻³
Symmetry = Pm-3m

=====

Relative energy of each structure, in meV/atom: <1> 0; <2> 907.

=====

<1>
VASP calculation (PBE) on an optimized crystal structure of ZrNbCo2.

The structure in CIF format:
```
data_ZrNbCo2
_cell_length_a 3.049
_cell_length_b 3.049
_cell_length_c 6.607
_cell_angle_alpha 90.00
_cell_angle_beta 90.00
_cell_angle_gamma 90.00
_symmetry_space_group_name_H-M 'P 1'
_symmetry_Int_Tables_number 1
_symmetry_space_group_name_Hall 'P 1'
loop_
_atom_site_label
_atom_site_type_symbol
_atom_site_fract_x
_atom_site_fract_y
_atom_site_fract_z
Nb1 Nb 0.500 0.500 0.000
Co1 Co 0.000 0.000 0.786
Co2 Co 0.000 0.000 0.214
Zr1 Zr 0.500 0.500 0.500
```

ρ = 8.16 g cm⁻³
Symmetry = P4/mmm

=====

<2>
VASP calculation (PBE) on an optimized crystal structure of ZrNbCo2.

The structure in CIF format:
```
data_ZrNbCo2
_cell_length_a 4.443
_cell_length_b 4.443
_cell_length_c 4.443
_cell_angle_alpha 60.00
_cell_angle_beta 60.00
_cell_angle_gamma 60.00
_symmetry_space_group_name_H-M 'P 1'
_symmetry_Int_Tables_number 1
_symmetry_space_group_name_Hall 'P 1'
loop_
_atom_site_label
_atom_site_type_symbol
_atom_site_fract_x
_atom_site_fract_y
_atom_site_fract_z
Nb1 Nb 0.500 0.500 0.500
Co1 Co 0.250 0.250 0.250
Co2 Co 0.750 0.750 0.750
Zr1 Zr 0.000 0.000 0.000
```

ρ = 8.09 g cm⁻³
Symmetry = Fm-3m

=====

<3>
VASP calculation (PBE) on an optimized crystal structure of ZrNbCo2.

The structure in CIF format:
```
data_ZrNbCo2
_cell_length_a 3.979
_cell_length_b 5.103
_cell_length_c 6.403
_cell_angle_alpha 108.02
_cell_angle_beta 90.00
_cell_angle_gamma 90.00
_symmetry_space_group_name_H-M 'P 1'
_symmetry_Int_Tables_number 1
_symmetry_space_group_name_Hall 'P 1'
loop_
_atom_site_label
_atom_site_type_symbol
_atom_site_fract_x
_atom_site_fract_y
_atom_site_fract_z
Zr1 Zr 0.250 0.280 0.072
Zr2 Zr 0.750 0.720 0.928
Nb1 Nb 0.750 0.717 0.431
Nb2 Nb 0.250 0.283 0.569
Co1 Co 0.250 0.830 0.230
Co2 Co 0.750 0.170 0.770
Co3 Co 0.750 0.183 0.318
Co4 Co 0.250 0.817 0.682
```

ρ = 8.11 g cm⁻³
Symmetry = P2_1/m

=====

Relative energy of each structure, in meV/atom: <1> 103; <2> 125; <3> 0.

=====

<1>
VASP calculation (PBE) on an optimized crystal structure of ZrNbCo2.

The structure in CIF format:
```
data_ZrNbCo2
_cell_length_a 6.821
_cell_length_b 6.821
_cell_length_c 5.560
_cell_angle_alpha 52.16
_cell_angle_beta 52.16
_cell_angle_gamma 90.00
_symmetry_space_group_name_H-M 'P 1'
_symmetry_Int_Tables_number 1
_symmetry_space_group_name_Hall 'P 1'
loop_
_atom_site_label
_atom_site_type_symbol
_atom_site_fract_x
_atom_site_fract_y
_atom_site_fract_z
Nb1 Nb 0.000 0.000 0.000
Nb2 Nb 0.750 0.250 0.500
Co1 Co 0.643 0.125 0.250
Co2 Co 0.107 0.625 0.250
Co3 Co 0.375 0.357 0.750
Co4 Co 0.875 0.893 0.750
Zr1 Zr 0.500 0.500 0.000
Zr2 Zr 0.250 0.750 0.500
```

ρ = 7.79 g cm⁻³
Symmetry = I-42d

=====

<2>
VASP calculation (PBE) on an optimized crystal structure of ZrNbCo2.

The structure in CIF format:
```
data_ZrNbCo2
_cell_length_a 3.150
_cell_length_b 4.435
_cell_length_c 4.435
_cell_angle_alpha 90.00
_cell_angle_beta 90.00
_cell_angle_gamma 90.00
_symmetry_space_group_name_H-M 'P 1'
_symmetry_Int_Tables_number 1
_symmetry_space_group_name_Hall 'P 1'
loop_
_atom_site_label
_atom_site_type_symbol
_atom_site_fract_x
_atom_site_fract_y
_atom_site_fract_z
Nb1 Nb 0.500 0.500 0.500
Co1 Co 0.000 0.000 0.500
Co2 Co 0.000 0.500 0.000
Zr1 Zr 0.500 0.000 0.000
```

ρ = 8.09 g cm⁻³
Symmetry = P4/mmm

=====

Relative energy of each structure, in meV/atom: <1> 374; <2> 0.

=====

<1>
VASP calculation (PBE) on an optimized crystal structure of ZrNbCo.

The structure in CIF format:
```
data_ZrNbCo
_cell_length_a 5.399
_cell_length_b 5.371
_cell_length_c 7.100
_cell_angle_alpha 90.00
_cell_angle_beta 90.00
_cell_angle_gamma 90.00
_symmetry_space_group_name_H-M 'P 1'
_symmetry_Int_Tables_number 1
_symmetry_space_group_name_Hall 'P 1'
loop_
_atom_site_label
_atom_site_type_symbol
_atom_site_fract_x
_atom_site_fract_y
_atom_site_fract_z
Nb1 Nb 0.250 0.250 0.250
Nb2 Nb 0.250 0.750 0.750
Nb3 Nb 0.750 0.750 0.750
Nb4 Nb 0.750 0.250 0.250
Co1 Co 0.000 0.000 0.000
Co2 Co 0.000 0.500 0.000
Co3 Co 0.500 0.500 0.500
Co4 Co 0.500 0.000 0.500
Zr1 Zr 0.000 0.250 0.634
Zr2 Zr 0.000 0.750 0.366
Zr3 Zr 0.500 0.750 0.134
Zr4 Zr 0.500 0.250 0.866
```

ρ = 7.84 g cm⁻³
Symmetry = Imma

=====

<2>
VASP calculation (PBE) on an optimized crystal structure of ZrNbCo.

The structure in CIF format:
```
data_ZrNbCo
_cell_length_a 5.720
_cell_length_b 6.836
_cell_length_c 6.135
_cell_angle_alpha 90.00
_cell_angle_beta 90.00
_cell_angle_gamma 114.73
_symmetry_space_group_name_H-M 'P 1'
_symmetry_Int_Tables_number 1
_symmetry_space_group_name_Hall 'P 1'
loop_
_atom_site_label
_atom_site_type_symbol
_atom_site_fract_x
_atom_site_fract_y
_atom_site_fract_z
Co1 Co 0.612 0.223 0.535
Co2 Co 0.888 0.777 0.035
Co3 Co 0.388 0.777 0.465
Co4 Co 0.112 0.223 0.965
Nb1 Nb 0.273 0.046 0.250
Nb2 Nb 0.227 0.954 0.750
Nb3 Nb 0.727 0.954 0.750
Nb4 Nb 0.773 0.046 0.250
Zr1 Zr 0.809 0.617 0.429
Zr2 Zr 0.691 0.383 0.929
Zr3 Zr 0.191 0.383 0.571
Zr4 Zr 0.309 0.617 0.071
```

ρ = 7.41 g cm⁻³
Symmetry = Cmce

=====

<3>
VASP calculation (PBE) on an optimized crystal structure of ZrNbCo.

The structure in CIF format:
```
data_ZrNbCo
_cell_length_a 5.195
_cell_length_b 6.274
_cell_length_c 6.225
_cell_angle_alpha 90.00
_cell_angle_beta 90.00
_cell_angle_gamma 90.00
_symmetry_space_group_name_H-M 'P 1'
_symmetry_Int_Tables_number 1
_symmetry_space_group_name_Hall 'P 1'
loop_
_atom_site_label
_atom_site_type_symbol
_atom_site_fract_x
_atom_site_fract_y
_atom_site_fract_z
Nb1 Nb 0.250 0.833 0.101
Nb2 Nb 0.750 0.167 0.101
Nb3 Nb 0.750 0.333 0.601
Nb4 Nb 0.250 0.667 0.601
Co1 Co 0.000 0.000 0.430
Co2 Co 0.500 0.000 0.430
Co3 Co 0.500 0.500 0.930
Co4 Co 0.000 0.500 0.930
Zr1 Zr 0.250 0.339 0.274
Zr2 Zr 0.750 0.661 0.274
Zr3 Zr 0.750 0.839 0.774
Zr4 Zr 0.250 0.161 0.774
```

ρ = 7.96 g cm⁻³
Symmetry = Ima2

=====

<4>
VASP calculation (PBE) on an optimized crystal structure of ZrNbCo.

The structure in CIF format:
```
data_ZrNbCo
_cell_length_a 8.843
_cell_length_b 5.200
_cell_length_c 8.806
_cell_angle_alpha 90.00
_cell_angle_beta 90.00
_cell_angle_gamma 90.00
_symmetry_space_group_name_H-M 'P 1'
_symmetry_Int_Tables_number 1
_symmetry_space_group_name_Hall 'P 1'
loop_
_atom_site_label
_atom_site_type_symbol
_atom_site_fract_x
_atom_site_fract_y
_atom_site_fract_z
Nb1 Nb 0.838 0.000 0.000
Nb2 Nb 0.162 0.000 0.000
Nb3 Nb 0.838 0.500 0.500
Nb4 Nb 0.162 0.500 0.500
Nb5 Nb 0.338 0.000 0.500
Nb6 Nb 0.662 0.000 0.500
Nb7 Nb 0.338 0.500 0.000
Nb8 Nb 0.662 0.500 0.000
Co1 Co 0.250 0.250 0.250
Co2 Co 0.250 0.750 0.750
Co3 Co 0.750 0.250 0.750
Co4 Co 0.750 0.750 0.250
Co5 Co 0.750 0.750 0.750
Co6 Co 0.750 0.250 0.250
Co7 Co 0.250 0.750 0.250
Co8 Co 0.250 0.250 0.750
Zr1 Zr 0.000 0.000 0.665
Zr2 Zr 0.000 0.000 0.335
Zr3 Zr 0.000 0.500 0.165
Zr4 Zr 0.000 0.500 0.835
Zr5 Zr 0.500 0.000 0.165
Zr6 Zr 0.500 0.000 0.835
Zr7 Zr 0.500 0.500 0.665
Zr8 Zr 0.500 0.500 0.335
```

ρ = 7.97 g cm⁻³
Symmetry = Fmmm

=====

Relative energy of each structure, in meV/atom: <1> 45; <2> 160; <3> 11; <4> 0.

=====

<1>
VASP calculation (PBE) on an optimized crystal structure of ZrNbCo.

The structure in CIF format:
```
data_ZrNbCo
_cell_length_a 4.818
_cell_length_b 4.227
_cell_length_c 10.321
_cell_angle_alpha 90.00
_cell_angle_beta 97.68
_cell_angle_gamma 90.00
_symmetry_space_group_name_H-M 'P 1'
_symmetry_Int_Tables_number 1
_symmetry_space_group_name_Hall 'P 1'
loop_
_atom_site_label
_atom_site_type_symbol
_atom_site_fract_x
_atom_site_fract_y
_atom_site_fract_z
Nb1 Nb 0.733 0.000 0.915
Nb2 Nb 0.267 0.000 0.085
Nb3 Nb 0.733 0.500 0.415
Nb4 Nb 0.267 0.500 0.585
Co1 Co 0.674 0.000 0.276
Co2 Co 0.326 0.000 0.724
Co3 Co 0.674 0.500 0.776
Co4 Co 0.326 0.500 0.224
Zr1 Zr 0.211 0.000 0.384
Zr2 Zr 0.789 0.000 0.616
Zr3 Zr 0.211 0.500 0.884
Zr4 Zr 0.789 0.500 0.116
```

ρ = 7.75 g cm⁻³
Symmetry = C2/m

=====

<2>
VASP calculation (PBE) on an optimized crystal structure of ZrNbCo.

The structure in CIF format:
```
data_ZrNbCo
_cell_length_a 6.074
_cell_length_b 3.326
_cell_length_c 10.521
_cell_angle_alpha 90.00
_cell_angle_beta 90.28
_cell_angle_gamma 90.00
_symmetry_space_group_name_H-M 'P 1'
_symmetry_Int_Tables_number 1
_symmetry_space_group_name_Hall 'P 1'
loop_
_atom_site_label
_atom_site_type_symbol
_atom_site_fract_x
_atom_site_fract_y
_atom_site_fract_z
Nb1 Nb 0.908 0.000 0.498
Nb2 Nb 0.908 0.500 0.998
Nb3 Nb 0.143 0.000 0.202
Nb4 Nb 0.143 0.500 0.702
Co1 Co 0.669 0.000 0.104
Co2 Co 0.669 0.500 0.604
Co3 Co 0.145 0.000 0.876
Co4 Co 0.145 0.500 0.376
Zr1 Zr 0.665 0.000 0.790
Zr2 Zr 0.665 0.500 0.290
Zr3 Zr 0.402 0.000 0.499
Zr4 Zr 0.402 0.500 0.999
```

ρ = 7.60 g cm⁻³
Symmetry = Cm

=====

Relative energy of each structure, in meV/atom: <1> 0; <2> 30.